(1)
{"formula": "Cd6Pb", "functional": "PBE", "state": "optimized geometry", "cell": [[-3.925, 3.925, 3.925], [3.925, -3.925, 3.925], [3.925, 3.925, -3.925]], "species": ["Cd", "Cd", "Cd", "Cd", "Cd", "Cd", "Pb"], "fractional_positions": [[0.250, 0.500, 0.750], [0.250, 0.750, 0.500], [0.500, 0.250, 0.750], [0.500, 0.750, 0.250], [0.750, 0.250, 0.500], [0.750, 0.500, 0.250], [0.000, 0.000, 0.000]], "delta_e_f_ev_per_atom": 0.42, "magmom_total_mub_per_fu": 0.00, "final_energy_ev_per_atom": -0.889, "polymorph_energy_mev_per_atom": 380.3, "spacegroup": "Im-3m (229)"}

---

(2)
{"formula": "Cd7Pb5", "functional": "PBE", "state": "optimized geometry", "cell": [[3.510, 0.000, 0.000], [0.000, 9.926, 0.000], [0.000, 0.000, 9.284]], "species": ["Cd", "Cd", "Cd", "Cd", "Cd", "Cd", "Cd", "Pb", "Pb", "Pb", "Pb", "Pb"], "fractional_positions": [[0.000, 0.000, 0.000], [0.000, 0.000, 0.463], [0.000, 0.320, 0.985], [0.000, 0.680, 0.985], [0.500, 0.159, 0.222], [0.500, 0.500, 0.762], [0.500, 0.841, 0.222], [0.000, 0.327, 0.476], [0.000, 0.673, 0.476], [0.500, 0.165, 0.741], [0.500, 0.500, 0.207], [0.500, 0.835, 0.741]], "delta_e_f_ev_per_atom": 0.05, "magmom_total_mub_per_fu": 0.00, "final_energy_ev_per_atom": -2.034, "spacegroup": "Pmm2 (25)"}

---

(3)
{"formula": "Cd24Pb5", "functional": "PBE", "state": "optimized geometry", "cell": [[-5.617, 5.617, 5.617], [5.617, -5.617, 5.617], [5.617, 5.617, -5.617]], "species": ["Cd", "Cd", "Cd", "Cd", "Cd", "Cd", "Cd", "Cd", "Cd", "Cd", "Cd", "Cd", "Cd", "Cd", "Cd", "Cd", "Cd", "Cd", "Cd", "Cd", "Cd", "Cd", "Cd", "Cd", "Pb", "Pb", "Pb", "Pb", "Pb"], "fractional_positions": [[0.000, 0.191, 0.386], [0.000, 0.386, 0.191], [0.000, 0.410, 0.681], [0.000, 0.681, 0.410], [0.191, 0.000, 0.386], [0.191, 0.386, 0.000], [0.194, 0.809, 0.809], [0.270, 0.590, 0.590], [0.319, 0.319, 0.730], [0.319, 0.730, 0.319], [0.386, 0.000, 0.191], [0.386, 0.191, 0.000], [0.410, 0.000, 0.681], [0.410, 0.681, 0.000], [0.590, 0.270, 0.590], [0.590, 0.590, 0.270], [0.614, 0.614, 0.806], [0.614, 0.806, 0.614], [0.681, 0.000, 0.410], [0.681, 0.410, 0.000], [0.730, 0.319, 0.319], [0.806, 0.614, 0.614], [0.809, 0.194, 0.809], [0.809, 0.809, 0.194], [0.000, 0.000, 0.000], [0.000, 0.000, 0.653], [0.000, 0.653, 0.000], [0.347, 0.347, 0.347], [0.653, 0.000, 0.000]], "delta_e_f_ev_per_atom": 0.03, "magmom_total_mub_per_fu": 0.00, "final_energy_ev_per_atom": -1.369, "spacegroup": "I-43m (217)"}

---

(4)
{"formula": "Cd2Pb", "functional": "PBE", "state": "optimized geometry", "cell": [[-1.623, 2.914, 4.319], [1.623, -2.914, 4.319], [1.623, 2.914, -4.319]], "species": ["Cd", "Cd", "Pb"], "fractional_positions": [[0.173, 0.173, 0.000], [0.827, 0.827, 0.000], [0.500, 0.000, 0.500]], "delta_e_f_ev_per_atom": 0.08, "magmom_total_mub_per_fu": 0.00, "final_energy_ev_per_atom": -1.766, "spacegroup": "Immm (71)"}

---

(5)
{"formula": "CdPb", "functional": "PBE", "state": "optimized geometry", "cell": [[6.154, 0.000, 0.000], [0.000, 6.154, 0.000], [0.000, 0.000, 6.231]], "species": ["Cd", "Cd", "Cd", "Cd", "Pb", "Pb", "Pb", "Pb"], "fractional_positions": [[0.197, 0.197, 0.000], [0.303, 0.697, 0.500], [0.697, 0.303, 0.500], [0.803, 0.803, 0.000], [0.201, 0.201, 0.500], [0.299, 0.701, 0.000], [0.701, 0.299, 0.000], [0.799, 0.799, 0.500]], "delta_e_f_ev_per_atom": 0.14, "magmom_total_mub_per_fu": 0.00, "final_energy_ev_per_atom": -2.169, "spacegroup": "P4_2/mnm (136)"}

---

(6)
{"formula": "Cd3Pb", "functional": "PBE", "state": "optimized geometry", "cell": [[4.024, -4.578, 0.000], [4.024, 4.578, 0.000], [0.000, 0.000, 5.893]], "species": ["Cd", "Cd", "Cd", "Cd", "Cd", "Cd", "Pb", "Pb"], "fractional_positions": [[0.028, 0.972, 0.750], [0.093, 0.540, 0.250], [0.460, 0.907, 0.250], [0.540, 0.093, 0.750], [0.907, 0.460, 0.750], [0.972, 0.028, 0.250], [0.410, 0.590, 0.750], [0.590, 0.410, 0.250]], "delta_e_f_ev_per_atom": 0.07, "magmom_total_mub_per_fu": 0.00, "final_energy_ev_per_atom": -1.540, "spacegroup": "Cmcm (63)"}